# HfTi2Pb

HfTi2Pb after structural relaxation (GGA-PBE, Alexandria).

spin magnetization	0.00	μB/f.u.
total energy	-0.2516	hartree per atom
calculated volume	86.78	Å³/f.u.

a = 7.7456 Å, b = 7.7456 Å, c = 5.7858 Å
α = 90.00°, β = 90.00°, γ = 90.00°
Space group I-42d (No. 122)
Inequivalent atoms, fractional coordinates:
Hf1 0.0000 0.0000 0.0000 (multiplicity 4)
Ti1 0.2469 0.2500 0.6250 (multiplicity 8)
Pb1 0.0000 0.0000 0.5000 (multiplicity 4)